A plane-wave DFT calculation with SCAN was carried out for Ba4BePt at its PBEsol-relaxed geometry.

As for the total magnetization: 0.006 μB per formula unit. As for the energy of formation from the pure elements: 5.53 eV/f.u.

```
data_Ba4BePt
_space_group_name_H-M_alt 'F -4 3 m'
_space_group_IT_number 216
_space_group_name_Hall 'F -4 2 3'
_cell_length_a 9.449
_cell_length_b 9.449
_cell_length_c 9.449
_cell_angle_alpha 90.00
_cell_angle_beta 90.00
_cell_angle_gamma 90.00
loop_
_atom_site_label
_atom_site_fract_x
_atom_site_fract_y
_atom_site_fract_z
Ba1 0.124 0.124 0.376
Be1 0.000 0.000 0.000
Pt1 0.250 0.250 0.750
```